(1)
MnAl2Sb2P6O24 after structural relaxation. Source: the Alexandria database, functional PBEsol.

Properties
The value obtained for the polymorph energy (0 for the lowest one) is 0.00 eV/f.u. As for the formation energy (no corrections): -2.15 eV per atom.

Cell: 8.5333 8.5333 8.5333 Å, 58.76 58.76 58.76°
Fractional coordinates of all 35 atoms:
O1 0.0590 0.6981 0.9831
O2 0.6981 0.9831 0.0590
O3 0.6508 0.0324 0.7448
P1 0.0416 0.7374 0.4664
O4 0.3492 0.9676 0.2552
O5 0.5954 0.7499 0.4049
O6 0.3199 0.4901 0.1192
O7 0.0324 0.7448 0.6508
P2 0.9584 0.2626 0.5336
O8 0.2501 0.5951 0.4046
P3 0.7374 0.4664 0.0416
Sb1 0.8592 0.8592 0.8592
O9 0.6801 0.5099 0.8808
O10 0.9831 0.0590 0.6981
O11 0.4049 0.5954 0.7499
O12 0.7499 0.4049 0.5954
Al1 0.3560 0.3560 0.3560
O13 0.5099 0.8808 0.6801
O14 0.4901 0.1192 0.3199
O15 0.1192 0.3199 0.4901
O16 0.3019 0.0169 0.9410
O17 0.4046 0.2501 0.5951
Al2 0.6440 0.6440 0.6440
P4 0.2626 0.5336 0.9584
O18 0.2552 0.3492 0.9676
P5 0.4664 0.0416 0.7374
O19 0.0169 0.9410 0.3019
O20 0.7448 0.6508 0.0324
P6 0.5336 0.9584 0.2626
O21 0.8808 0.6801 0.5099
Mn1 0.5000 0.5000 0.5000
O22 0.5951 0.4046 0.2501
Sb2 0.1408 0.1408 0.1408
O23 0.9676 0.2552 0.3492
O24 0.9410 0.3019 0.0169



(2)
MnAl2Sb2P6O24 after structural relaxation. Source: the Alexandria database, functional PBEsol.

Properties
The value obtained for the polymorph energy (0 for the lowest one) is 0.15 eV/f.u. As for the formation energy (no corrections): -2.15 eV per atom.

Cell: 8.4935 8.4911 11.9995 Å, 89.86 90.00 90.00°
Fractional coordinates of all 70 atoms:
O1 0.9010 0.7256 0.7891
O2 0.6017 0.9699 0.9011
Sb1 0.0003 0.7233 0.6422
Sb2 0.9997 0.2767 0.3578
O3 0.4314 0.7565 0.0110
O4 0.4203 0.2168 0.2824
O5 0.8196 0.8490 0.5947
Sb3 0.4997 0.2233 0.6422
O6 0.6700 0.6503 0.9110
O7 0.0999 0.4728 0.4064
O8 0.0990 0.2744 0.2109
O9 0.8969 0.9182 0.1554
O10 0.8935 0.0771 0.3315
O11 0.4001 0.9728 0.4064
O12 0.3935 0.4229 0.6685
O13 0.9320 0.2533 0.5133
O14 0.5999 0.0272 0.5936
O15 0.1804 0.1510 0.4053
O16 0.5680 0.7533 0.5133
P1 0.2888 0.4985 0.7603
O17 0.5686 0.2435 0.9890
Mn1 0.5000 0.5000 0.0000
O18 0.6065 0.5771 0.3315
O19 0.1850 0.3834 0.8209
O20 0.0686 0.2565 0.0110
O21 0.9314 0.7435 0.9890
O22 0.6804 0.3490 0.5947
P2 0.7888 0.0015 0.2397
O23 0.3150 0.8834 0.8209
Al1 0.5010 0.7869 0.8613
O24 0.6850 0.1166 0.1791
P3 0.2112 0.9985 0.7603
O25 0.3196 0.6510 0.4053
O26 0.9203 0.2832 0.7176
O27 0.1065 0.9229 0.6685
Al2 0.4990 0.2131 0.1387
O28 0.6031 0.4182 0.1554
O29 0.6958 0.8781 0.3090
O30 0.8150 0.6166 0.1791
P4 0.7112 0.5015 0.2397
O31 0.4320 0.2467 0.4867
P5 0.8611 0.3505 0.6100
O32 0.3969 0.5818 0.8446
O33 0.5990 0.2256 0.7891
O34 0.3983 0.0301 0.0989
O35 0.1958 0.6219 0.6910
P6 0.1487 0.3590 0.1005
P7 0.8513 0.6410 0.8995
P8 0.1389 0.6495 0.3900
O36 0.4010 0.7744 0.2109
Al3 0.9990 0.2869 0.8613
P9 0.3513 0.8590 0.1005
Mn2 0.0000 0.0000 0.0000
P10 0.6389 0.8505 0.6100
O37 0.1017 0.5301 0.0989
O38 0.3300 0.3497 0.0890
Al4 0.0010 0.7131 0.1387
O39 0.5797 0.7832 0.7176
O40 0.1700 0.8497 0.0890
O41 0.8042 0.3781 0.3090
Sb4 0.5003 0.7767 0.3578
O42 0.0797 0.7168 0.2824
O43 0.0680 0.7467 0.4867
O44 0.3042 0.1219 0.6910
O45 0.8983 0.4699 0.9011
O46 0.1031 0.0818 0.8446
O47 0.9001 0.5272 0.5936
O48 0.8300 0.1503 0.9110
P11 0.6487 0.1410 0.8995
P12 0.3611 0.1495 0.3900



(3)
MnAlSiO5 after structural relaxation. Source: the Alexandria database, functional PBEsol.

Properties
As for the formation energy (no corrections): -2.51 eV per atom.

Cell: 5.6501 8.0390 8.1203 Å, 90.00 90.00 90.00°
Fractional coordinates of all 32 atoms:
Mn1 0.7558 0.5000 0.5000
Al1 0.5000 0.8765 0.6358
Mn2 0.7442 0.0000 0.0000
O1 0.7607 0.7483 0.6437
O2 0.0000 0.5717 0.3616
O3 0.2607 0.2483 0.8563
O4 0.0000 0.4283 0.6384
O5 0.7393 0.7517 0.1437
Al2 0.0000 0.6235 0.1358
Al3 0.0000 0.3765 0.8642
O6 0.5000 0.5739 0.3621
Si1 0.0000 0.7502 0.7553
O7 0.5000 0.9283 0.8616
Si2 0.5000 0.2502 0.7447
O8 0.2393 0.2517 0.3563
O9 0.7607 0.2517 0.3563
O10 0.0000 0.3954 0.1005
O11 0.7393 0.2483 0.8563
Mn3 0.2442 0.5000 0.5000
O12 0.5000 0.1046 0.6005
Si3 0.0000 0.2498 0.2447
O13 0.0000 0.6046 0.8995
Mn4 0.2558 0.0000 0.0000
O14 0.0000 0.9261 0.8621
Si4 0.5000 0.7498 0.2553
O15 0.5000 0.0717 0.1384
O16 0.2607 0.7517 0.1437
O17 0.2393 0.7483 0.6437
Al4 0.5000 0.1235 0.3642
O18 0.5000 0.8954 0.3995
O19 0.5000 0.4261 0.6379
O20 0.0000 0.0739 0.1379